Material: RbB4Os
Method: DFT, GGA-PBE
State: optimized geometry

a b c (Å): 3.0579 3.0579 8.5161
angles (deg): 90.00 90.00 120.00
Closest atoms and distances in Å follow each position.
Space group P6/mmm (No. 191)
Symmetry-distinct sites (fractional):
Rb 0.0000 0.0000 0.0000 x1  6 Rb 3.06, 12 B 3.17
B 0.3333 0.6667 0.3088 x4  3 B 1.77
Os 0.0000 0.0000 0.5000 x1  12 B 2.40

Calculated values
- calculated volume (Å³ per atom) = 11.494
- DFT total energy (eV for the cell shown) = -36.35
- energy relative to the lowest polymorph listed for this composition (meV/atom) = 0.0